Entry 1:
# Pm4Sm3Bi8 (PBE, relaxed)
data_Pm4Sm3Bi8
_cell_length_a 12.8614
_cell_length_b 12.8647
_cell_length_c 9.0869
_cell_angle_alpha 90.00
_cell_angle_beta 134.94
_cell_angle_gamma 90.00
_symmetry_space_group_name_H-M 'C 1 2/m 1'
_symmetry_Int_Tables_number 12
loop_
_symmetry_equiv_pos_as_xyz
'x,y,z'
'-x,-y,-z'
'-x,y,-z'
'x,-y,z'
'x+1/2,y+1/2,z'
'-x+1/2,-y+1/2,-z'
'-x+1/2,y+1/2,-z'
'x+1/2,-y+1/2,z'
loop_
_atom_site_label
_atom_site_type_symbol
_atom_site_fract_x
_atom_site_fract_y
_atom_site_fract_z
_atom_site_occupancy
Pm1 Pm 0.0000 0.0000 0.0000 1
Pm2 Pm 0.0000 0.5000 0.5000 1
Pm3 Pm 0.2500 0.2500 0.0000 1
Sm1 Sm 0.0000 0.5000 0.0000 1
Sm2 Sm 0.2500 0.2500 0.5000 1
Bi1 Bi 0.0000 0.2453 0.5000 1
Bi2 Bi 0.0000 0.2504 0.0000 1
Bi3 Bi 0.2457 0.0000 0.5011 1
Bi4 Bi 0.2457 0.0000 0.9904 1
# ΔH_f (0 K) = -0.732 eV per atom

Entry 2:
# La4PmU3N8 (PBE, relaxed)
data_La4PmU3N8
_cell_length_a 7.1248
_cell_length_b 7.1248
_cell_length_c 17.8017
_cell_angle_alpha 90.00
_cell_angle_beta 90.00
_cell_angle_gamma 120.00
_symmetry_space_group_name_H-M 'R -3 m'
_symmetry_Int_Tables_number 166
_symmetry_space_group_name_Hall '-R 3 2"'
loop_
_atom_site_label
_atom_site_type_symbol
_atom_site_fract_x
_atom_site_fract_y
_atom_site_fract_z
_atom_site_occupancy
La1 La 0.0000 0.0000 0.0000 1
La2 La 0.0000 0.5000 0.0000 1
Pm1 Pm 0.0000 0.0000 0.5000 1
U1 U 0.0000 0.5000 0.5000 1
N1 N 0.0000 0.0000 0.2324 1
N2 N 0.0258 0.5129 0.7664 1
# Formation energy from raw total energies = -1.405 eV/atom

Entry 3:
# Tl6PdO8 (PBE, relaxed)
data_Tl6PdO8
_cell_length_a 10.1378
_cell_length_b 10.1378
_cell_length_c 9.4339
_cell_angle_alpha 90.00
_cell_angle_beta 90.00
_cell_angle_gamma 120.00
_symmetry_space_group_name_H-M 'R -3'
_symmetry_Int_Tables_number 148
_symmetry_space_group_name_Hall '-R 3'
loop_
_atom_site_label
_atom_site_type_symbol
_atom_site_fract_x
_atom_site_fract_y
_atom_site_fract_z
_atom_site_occupancy
Tl1 Tl 0.0277 0.8101 0.1616 1
Pd1 Pd 0.0000 0.0000 0.5000 1
O1 O 0.0000 0.0000 0.2856 1
O2 O 0.0161 0.7718 0.9131 1
# Formation energy from raw total energies = -0.463 eV/atom

Entry 4:
# Tl3Ag2PdCl9 (PBE, relaxed)
data_Tl3Ag2PdCl9
_cell_length_a 7.2376
_cell_length_b 7.2376
_cell_length_c 8.7378
_cell_angle_alpha 90.00
_cell_angle_beta 90.00
_cell_angle_gamma 120.00
_symmetry_space_group_name_H-M 'P -3 m 1'
_symmetry_Int_Tables_number 164
_symmetry_space_group_name_Hall '-P 3 2"'
loop_
_atom_site_label
_atom_site_type_symbol
_atom_site_fract_x
_atom_site_fract_y
_atom_site_fract_z
_atom_site_occupancy
Tl1 Tl 0.0000 0.0000 0.0000 1
Tl2 Tl 0.3333 0.6667 0.7034 1
Ag1 Ag 0.3333 0.6667 0.1770 1
Pd1 Pd 0.0000 0.0000 0.5000 1
Cl1 Cl 0.0000 0.5000 0.0000 1
Cl2 Cl 0.1571 0.3143 0.3399 1
# Formation energy from raw total energies = -0.678 eV/atom

Entry 5:
# AcAsW (PBE, relaxed)
data_AcAsW
_cell_length_a 3.8627
_cell_length_b 17.3511
_cell_length_c 4.5586
_cell_angle_alpha 90.00
_cell_angle_beta 90.00
_cell_angle_gamma 90.00
_symmetry_space_group_name_H-M 'C m c m'
_symmetry_Int_Tables_number 63
_symmetry_space_group_name_Hall '-C 2c 2'
loop_
_atom_site_label
_atom_site_type_symbol
_atom_site_fract_x
_atom_site_fract_y
_atom_site_fract_z
_atom_site_occupancy
Ac1 Ac 0.0000 0.0938 0.2500 1
As1 As 0.0000 0.4173 0.2500 1
W1 W 0.0000 0.2709 0.2500 1
# ΔH_f (0 K) = 0.108 eV per atom

Entry 6:
# Y3AlP (PBE, relaxed)
data_Y3AlP
_cell_length_a 5.2253
_cell_length_b 5.2253
_cell_length_c 5.2253
_cell_angle_alpha 90.00
_cell_angle_beta 90.00
_cell_angle_gamma 90.00
_symmetry_space_group_name_H-M 'P m -3 m'
_symmetry_Int_Tables_number 221
_symmetry_space_group_name_Hall '-P 4 2 3'
loop_
_atom_site_label
_atom_site_type_symbol
_atom_site_fract_x
_atom_site_fract_y
_atom_site_fract_z
_atom_site_occupancy
Y1 Y 0.0000 0.0000 0.5000 1
Al1 Al 0.5000 0.5000 0.5000 1
P1 P 0.0000 0.0000 0.0000 1
# ΔH_f (0 K) = -0.604 eV per atom

Entry 7:
# SrCaLa2 (PBE, relaxed)
data_SrCaLa2
_cell_length_a 12.7828
_cell_length_b 3.8262
_cell_length_c 6.9094
_cell_angle_alpha 90.00
_cell_angle_beta 100.11
_cell_angle_gamma 90.00
_symmetry_space_group_name_H-M 'C 1 m 1'
_symmetry_Int_Tables_number 8
loop_
_symmetry_equiv_pos_as_xyz
'x,y,z'
'x,-y,z'
'x+1/2,y+1/2,z'
'x+1/2,-y+1/2,z'
loop_
_atom_site_label
_atom_site_type_symbol
_atom_site_fract_x
_atom_site_fract_y
_atom_site_fract_z
_atom_site_occupancy
Sr1 Sr 0.0000 0.0000 0.0000 1
Ca1 Ca 0.2435 0.0000 0.7553 1
La1 La 0.2584 0.5000 0.2879 1
La2 La 0.4888 0.0000 0.4803 1
# ΔH_f (0 K) = 0.112 eV per atom

Entry 8:
# Cs2CdHg2 (PBE, relaxed)
data_Cs2CdHg2
_cell_length_a 13.9617
_cell_length_b 5.4269
_cell_length_c 13.4406
_cell_angle_alpha 90.00
_cell_angle_beta 118.36
_cell_angle_gamma 90.00
_symmetry_space_group_name_H-M 'C 1 2/m 1'
_symmetry_Int_Tables_number 12
loop_
_symmetry_equiv_pos_as_xyz
'x,y,z'
'-x,-y,-z'
'-x,y,-z'
'x,-y,z'
'x+1/2,y+1/2,z'
'-x+1/2,-y+1/2,-z'
'-x+1/2,y+1/2,-z'
'x+1/2,-y+1/2,z'
loop_
_atom_site_label
_atom_site_type_symbol
_atom_site_fract_x
_atom_site_fract_y
_atom_site_fract_z
_atom_site_occupancy
Cs1 Cs 0.9997 0.0000 0.1603 1
Cs2 Cs 0.1977 0.0000 0.6128 1
Cd1 Cd 0.2146 0.5000 0.8545 1
Hg1 Hg 0.0015 0.5000 0.3834 1
Hg2 Hg 0.1737 0.5000 0.0635 1
# ΔH_f (0 K) = -0.197 eV per atom

Entry 9:
# Mg2PBr (PBE, relaxed)
data_Mg2PBr
_cell_length_a 6.9722
_cell_length_b 6.9722
_cell_length_c 6.9722
_cell_angle_alpha 90.00
_cell_angle_beta 90.00
_cell_angle_gamma 90.00
_symmetry_space_group_name_H-M 'F -4 3 m'
_symmetry_Int_Tables_number 216
_symmetry_space_group_name_Hall 'F -4 2 3'
loop_
_atom_site_label
_atom_site_type_symbol
_atom_site_fract_x
_atom_site_fract_y
_atom_site_fract_z
_atom_site_occupancy
Mg1 Mg 0.0000 0.0000 0.0000 1
Mg2 Mg 0.2500 0.2500 0.2500 1
P1 P 0.2500 0.2500 0.7500 1
Br1 Br 0.0000 0.0000 0.5000 1
# Formation energy from raw total energies = 0.196 eV/atom

Entry 10:
# ZrTc2Bi (PBE, relaxed)
data_ZrTc2Bi
_cell_length_a 4.1358
_cell_length_b 4.1358
_cell_length_c 19.9990
_cell_angle_alpha 90.00
_cell_angle_beta 90.00
_cell_angle_gamma 90.00
_symmetry_space_group_name_H-M 'I -4 2 d'
_symmetry_Int_Tables_number 122
_symmetry_space_group_name_Hall 'I -4 2bw'
loop_
_atom_site_label
_atom_site_type_symbol
_atom_site_fract_x
_atom_site_fract_y
_atom_site_fract_z
_atom_site_occupancy
Zr1 Zr 0.0000 0.0000 0.0000 1
Tc1 Tc 0.1681 0.2500 0.1250 1
Bi1 Bi 0.0000 0.0000 0.5000 1
# ΔH_f (0 K) = 0.600 eV per atom

Entry 11:
# Rb3Cd3Au2 (PBE, relaxed)
data_Rb3Cd3Au2
_cell_length_a 9.4556
_cell_length_b 17.3821
_cell_length_c 6.8042
_cell_angle_alpha 90.00
_cell_angle_beta 90.00
_cell_angle_gamma 90.00
_symmetry_space_group_name_H-M 'P n m a'
_symmetry_Int_Tables_number 62
loop_
_symmetry_equiv_pos_as_xyz
'x,y,z'
'-x,-y,-z'
'-x+1/2,-y,z+1/2'
'x+1/2,y,-z+1/2'
'x+1/2,-y+1/2,-z+1/2'
'-x+1/2,y+1/2,z+1/2'
'-x,y+1/2,-z'
'x,-y+1/2,z'
loop_
_atom_site_label
_atom_site_type_symbol
_atom_site_fract_x
_atom_site_fract_y
_atom_site_fract_z
_atom_site_occupancy
Rb1 Rb 0.0368 0.1068 0.1134 1
Rb2 Rb 0.1874 0.2500 0.6014 1
Cd1 Cd 0.1643 0.7500 0.5676 1
Cd2 Cd 0.1687 0.0375 0.6103 1
Au1 Au 0.1197 0.6015 0.3801 1
# ΔH_f (0 K) = -0.190 eV per atom

Entry 12:
# ZnInBr3 (PBE, relaxed)
data_ZnInBr3
_cell_length_a 3.9747
_cell_length_b 6.7891
_cell_length_c 7.2917
_cell_angle_alpha 107.82
_cell_angle_beta 105.63
_cell_angle_gamma 90.12
_symmetry_space_group_name_H-M 'P 1'
_symmetry_Int_Tables_number 1
loop_
_symmetry_equiv_pos_as_xyz
'x,y,z'
loop_
_atom_site_label
_atom_site_type_symbol
_atom_site_fract_x
_atom_site_fract_y
_atom_site_fract_z
_atom_site_occupancy
Zn1 Zn 0.0000 0.0000 0.0000 1
In1 In 0.6903 0.4240 0.3821 1
Br1 Br 0.0033 0.3574 0.0031 1
Br2 Br 0.1748 0.0375 0.3547 1
Br3 Br 0.4130 0.8056 0.8252 1
# Formation energy from raw total energies = -0.766 eV/atom

Calculated total energy in order - -150.37, -442.22, -197.99, -44.79, -85.54, -31.56, -26.18, -16.84, -37.95, -123.05, -54.89, -12.86 eV for the cell shown